# 1
# La14NdTl (PBE-GGA, optimized geometry)
# Crystal system: orthorhombic
# VASP energy in eV/atom: -4.807
# Energy of formation in eV per atom: -0.05
data_La14NdTl
_chemical_formula_sum 'La28 Nd2 Tl2'
_space_group_name_H-M_alt 'C m m m'
_space_group_IT_number 65
_space_group_name_Hall '-C 2 2'
_cell_length_a 10.389
_cell_length_b 10.401
_cell_length_c 10.421
_cell_angle_alpha 90.00
_cell_angle_beta 90.00
_cell_angle_gamma 90.00
loop_
_atom_site_label
_atom_site_fract_x
_atom_site_fract_y
_atom_site_fract_z
_atom_site_occupancy
La1 0.000 0.000 0.000 1
La2 0.000 0.245 0.255 1
La3 0.000 0.500 0.000 1
La4 0.244 0.000 0.255 1
La5 0.250 0.250 0.000 1
La6 0.250 0.250 0.500 1
Nd1 0.000 0.500 0.500 1
Tl1 0.000 0.000 0.500 1



# 2
# LaTa2Pt (PBE-GGA, optimized geometry)
# Crystal system: orthorhombic
# VASP energy in eV/atom: -8.341
# Energy of formation in eV per atom: 0.33
data_LaTa2Pt
_chemical_formula_sum 'La2 Ta4 Pt2'
_space_group_name_H-M_alt 'C m m m'
_space_group_IT_number 65
_space_group_name_Hall '-C 2 2'
_cell_length_a 5.691
_cell_length_b 9.871
_cell_length_c 2.910
_cell_angle_alpha 90.00
_cell_angle_beta 90.00
_cell_angle_gamma 90.00
loop_
_atom_site_label
_atom_site_fract_x
_atom_site_fract_y
_atom_site_fract_z
_atom_site_occupancy
La1 0.000 0.000 0.000 1
Ta1 0.250 0.250 0.500 1
Pt1 0.000 0.500 0.000 1



# 3
# Zr3ScNi8 (PBE-GGA, optimized geometry)
# Crystal system: trigonal
# VASP energy in eV/atom: -6.964
# Energy of formation in eV per atom: -0.45
data_Zr3ScNi8
_chemical_formula_sum 'Zr9 Sc3 Ni24'
_space_group_name_H-M_alt 'R 3 m'
_space_group_IT_number 160
_space_group_name_Hall 'R 3 -2"'
_cell_length_a 4.9197
_cell_length_b 4.9197
_cell_length_c 24.1571
_cell_angle_alpha 90.00
_cell_angle_beta 90.00
_cell_angle_gamma 120.00
loop_
_atom_site_label
_atom_site_fract_x
_atom_site_fract_y
_atom_site_fract_z
_atom_site_occupancy
Zr1 0.0000 0.0000 0.0000 1
Zr2 0.0000 0.0000 0.1255 1
Zr3 0.0000 0.0000 0.6185 1
Sc1 0.0000 0.0000 0.4945 1
Ni1 0.0000 0.0000 0.3097 1
Ni2 0.0000 0.0000 0.8098 1
Ni3 0.0023 0.5012 0.5601 1
Ni4 0.1674 0.3348 0.3925 1



# 4
# Sr6AsBr3N2 (PBE-GGA, optimized geometry)
# ΔE_f (raw) in eV per atom: -1.356
# Crystal system: monoclinic
# VASP energy in eV/atom: -4.390
data_Sr6AsBr3N2
_chemical_formula_sum 'Sr12 As2 Br6 N4'
_space_group_name_H-M_alt 'C 1 2/m 1'
_space_group_IT_number 12
_cell_length_a 7.187
_cell_length_b 12.445
_cell_length_c 7.877
_cell_angle_alpha 90.00
_cell_angle_beta 107.83
_cell_angle_gamma 90.00
loop_
_space_group_symop_operation_xyz
'x,y,z'
'-x,-y,-z'
'-x,y,-z'
'x,-y,z'
'x+1/2,y+1/2,z'
'-x+1/2,-y+1/2,-z'
'-x+1/2,y+1/2,-z'
'x+1/2,-y+1/2,z'
loop_
_atom_site_label
_atom_site_fract_x
_atom_site_fract_y
_atom_site_fract_z
_atom_site_occupancy
Sr1 0.194 0.000 0.189 1
Sr2 0.248 0.315 0.189 1
As1 0.000 0.500 0.000 1
Br1 0.000 0.000 0.500 1
Br2 0.000 0.337 0.500 1
N1 0.000 0.167 0.000 1



# 5
# Cr3InFe (PBE-GGA, optimized geometry)
# Crystal system: cubic
# VASP energy in eV/atom: -7.077
# Energy of formation in eV per atom: 0.94
data_Cr3InFe
_chemical_formula_sum 'Cr3 In1 Fe1'
_space_group_name_H-M_alt 'P m -3 m'
_space_group_IT_number 221
_space_group_name_Hall '-P 4 2 3'
_cell_length_a 4.306
_cell_length_b 4.306
_cell_length_c 4.306
_cell_angle_alpha 90.00
_cell_angle_beta 90.00
_cell_angle_gamma 90.00
loop_
_atom_site_label
_atom_site_fract_x
_atom_site_fract_y
_atom_site_fract_z
_atom_site_occupancy
Cr1 0.000 0.000 0.500 1
In1 0.500 0.500 0.500 1
Fe1 0.000 0.000 0.000 1



# 6
# HoInPd14 (PBE-GGA, optimized geometry)
# Crystal system: tetragonal
# VASP energy in eV/atom: -5.315
# Energy of formation in eV per atom: -0.31
data_HoInPd14
_chemical_formula_sum 'Ho1 In1 Pd14'
_space_group_name_H-M_alt 'P 4/m m m'
_space_group_IT_number 123
_space_group_name_Hall '-P 4 2'
_cell_length_a 5.707
_cell_length_b 5.707
_cell_length_c 7.950
_cell_angle_alpha 90.00
_cell_angle_beta 90.00
_cell_angle_gamma 90.00
loop_
_atom_site_label
_atom_site_fract_x
_atom_site_fract_y
_atom_site_fract_z
_atom_site_occupancy
Ho1 0.000 0.000 0.000 1
In1 0.500 0.500 0.000 1
Pd1 0.000 0.000 0.500 1
Pd2 0.000 0.500 0.000 1
Pd3 0.000 0.500 0.500 1
Pd4 0.251 0.251 0.255 1
Pd5 0.500 0.500 0.500 1



# 7
# Ca2Hg5 (PBE-GGA, optimized geometry)
# Crystal system: monoclinic
# VASP energy in eV/atom: -1.179
# Energy of formation in eV per atom: -0.39
data_Ca2Hg5
_chemical_formula_sum 'Ca4 Hg10'
_space_group_name_H-M_alt 'C 1 2/m 1'
_space_group_IT_number 12
_cell_length_a 10.202
_cell_length_b 4.435
_cell_length_c 8.094
_cell_angle_alpha 90.00
_cell_angle_beta 98.82
_cell_angle_gamma 90.00
loop_
_space_group_symop_operation_xyz
'x,y,z'
'-x,-y,-z'
'-x,y,-z'
'x,-y,z'
'x+1/2,y+1/2,z'
'-x+1/2,-y+1/2,-z'
'-x+1/2,y+1/2,-z'
'x+1/2,-y+1/2,z'
loop_
_atom_site_label
_atom_site_fract_x
_atom_site_fract_y
_atom_site_fract_z
_atom_site_occupancy
Ca1 0.080 0.000 0.231 1
Hg1 0.000 0.500 0.500 1
Hg2 0.142 0.500 0.943 1
Hg3 0.203 0.000 0.641 1



# 8
# BaScSn2Br8 (PBE-GGA, optimized geometry)
# ΔE_f (raw) in eV per atom: -1.259
# Crystal system: monoclinic
# VASP energy in eV/atom: -3.729
data_BaScSn2Br8
_chemical_formula_sum 'Ba1 Sc1 Sn2 Br8'
_space_group_name_H-M_alt 'P 1 2/m 1'
_space_group_IT_number 10
_cell_length_a 6.870
_cell_length_b 9.093
_cell_length_c 7.086
_cell_angle_alpha 90.00
_cell_angle_beta 90.03
_cell_angle_gamma 90.00
loop_
_space_group_symop_operation_xyz
'x,y,z'
'-x,-y,-z'
'-x,y,-z'
'x,-y,z'
loop_
_atom_site_label
_atom_site_fract_x
_atom_site_fract_y
_atom_site_fract_z
_atom_site_occupancy
Ba1 0.000 0.000 0.000 1
Sc1 0.000 0.500 0.000 1
Sn1 0.500 0.264 0.500 1
Br1 0.230 0.286 0.845 1
Br2 0.234 0.500 0.313 1
Br3 0.275 0.000 0.369 1



# 9
# CaInAs2 (PBE-GGA, optimized geometry)
# Crystal system: tetragonal
# VASP energy in eV/atom: -3.872
# Energy of formation in eV per atom: -0.36
data_CaInAs2
_chemical_formula_sum 'Ca2 In2 As4'
_space_group_name_H-M_alt 'I 4/m m m'
_space_group_IT_number 139
_space_group_name_Hall '-I 4 2'
_cell_length_a 4.593
_cell_length_b 4.593
_cell_length_c 8.751
_cell_angle_alpha 90.00
_cell_angle_beta 90.00
_cell_angle_gamma 90.00
loop_
_atom_site_label
_atom_site_fract_x
_atom_site_fract_y
_atom_site_fract_z
_atom_site_occupancy
Ca1 0.000 0.000 0.000 1
In1 0.000 0.000 0.500 1
As1 0.000 0.500 0.250 1



# 10
# UAsRhSe (PBE-GGA, optimized geometry)
# ΔE_f (raw) in eV per atom: -0.725
# Crystal system: tetragonal
# VASP energy in eV/atom: -7.418
data_UAsRhSe
_chemical_formula_sum 'U2 As2 Rh2 Se2'
_space_group_name_H-M_alt 'P 4/n m m'
_space_group_IT_number 129
_cell_length_a 4.092
_cell_length_b 4.092
_cell_length_c 9.003
_cell_angle_alpha 90.00
_cell_angle_beta 90.00
_cell_angle_gamma 90.00
loop_
_space_group_symop_operation_xyz
'x,y,z'
'-x,-y,-z'
'-y+1/2,x,z'
'y+1/2,-x,-z'
'-x+1/2,-y+1/2,z'
'x+1/2,y+1/2,-z'
'y,-x+1/2,z'
'-y,x+1/2,-z'
'x+1/2,-y,-z'
'-x+1/2,y,z'
'-y,-x,-z'
'y,x,z'
'-x,y+1/2,-z'
'x,-y+1/2,z'
'y+1/2,x+1/2,-z'
'-y+1/2,-x+1/2,z'
loop_
_atom_site_label
_atom_site_fract_x
_atom_site_fract_y
_atom_site_fract_z
_atom_site_occupancy
U1 0.250 0.250 0.236 1
As1 0.250 0.250 0.677 1
Rh1 0.250 0.750 0.500 1
Se1 0.250 0.750 0.000 1



# 11
# Pm9Pr2Sc (PBE-GGA, optimized geometry)
# Crystal system: tetragonal
# VASP energy in eV/atom: -4.860
# Energy of formation in eV per atom: 0.03
data_Pm9Pr2Sc
_chemical_formula_sum 'Pm9 Pr2 Sc1'
_space_group_name_H-M_alt 'P 4/m m m'
_space_group_IT_number 123
_space_group_name_Hall '-P 4 2'
_cell_length_a 5.135
_cell_length_b 5.135
_cell_length_c 15.382
_cell_angle_alpha 90.00
_cell_angle_beta 90.00
_cell_angle_gamma 90.00
loop_
_atom_site_label
_atom_site_fract_x
_atom_site_fract_y
_atom_site_fract_z
_atom_site_occupancy
Pm1 0.000 0.000 0.000 1
Pm2 0.000 0.000 0.330 1
Pm3 0.000 0.500 0.160 1
Pm4 0.000 0.500 0.500 1
Pr1 0.500 0.500 0.330 1
Sc1 0.500 0.500 0.000 1



# 12
# AgGe3B (PBE-GGA, optimized geometry)
# Crystal system: cubic
# VASP energy in eV/atom: -3.082
# Energy of formation in eV per atom: 1.59
data_AgGe3B
_chemical_formula_sum 'Ag1 Ge3 B1'
_space_group_name_H-M_alt 'P m -3 m'
_space_group_IT_number 221
_space_group_name_Hall '-P 4 2 3'
_cell_length_a 4.963
_cell_length_b 4.963
_cell_length_c 4.963
_cell_angle_alpha 90.00
_cell_angle_beta 90.00
_cell_angle_gamma 90.00
loop_
_atom_site_label
_atom_site_fract_x
_atom_site_fract_y
_atom_site_fract_z
_atom_site_occupancy
Ag1 0.000 0.000 0.000 1
Ge1 0.000 0.000 0.500 1
B1 0.500 0.500 0.500 1



# 13
# TcIBrN2 (PBE-GGA, optimized geometry)
# ΔE_f (raw) in eV per atom: 2.470
# Crystal system: tetragonal
# VASP energy in eV/atom: -3.578
data_TcIBrN2
_chemical_formula_sum 'Tc1 I1 Br1 N2'
_space_group_name_H-M_alt 'P 4/m m m'
_space_group_IT_number 123
_space_group_name_Hall '-P 4 2'
_cell_length_a 4.011
_cell_length_b 4.011
_cell_length_c 7.105
_cell_angle_alpha 90.00
_cell_angle_beta 90.00
_cell_angle_gamma 90.00
loop_
_atom_site_label
_atom_site_fract_x
_atom_site_fract_y
_atom_site_fract_z
_atom_site_occupancy
Tc1 0.000 0.000 0.000 1
I1 0.500 0.500 0.000 1
Br1 0.500 0.500 0.500 1
N1 0.000 0.500 0.500 1



# 14
# KZr2Sc (PBE-GGA, optimized geometry)
# Crystal system: orthorhombic
# VASP energy in eV/atom: -5.420
# Energy of formation in eV per atom: 0.71
data_KZr2Sc
_chemical_formula_sum 'K2 Zr4 Sc2'
_space_group_name_H-M_alt 'I m m 2'
_space_group_IT_number 44
_cell_length_a 3.150
_cell_length_b 6.181
_cell_length_c 11.620
_cell_angle_alpha 90.00
_cell_angle_beta 90.00
_cell_angle_gamma 90.00
loop_
_space_group_symop_operation_xyz
'x,y,z'
'-x,-y,z'
'-x,y,z'
'x,-y,z'
'x+1/2,y+1/2,z+1/2'
'-x+1/2,-y+1/2,z+1/2'
'-x+1/2,y+1/2,z+1/2'
'x+1/2,-y+1/2,z+1/2'
loop_
_atom_site_label
_atom_site_fract_x
_atom_site_fract_y
_atom_site_fract_z
_atom_site_occupancy
K1 0.000 0.000 0.000 1
Zr1 0.000 0.000 0.512 1
Zr2 0.000 0.500 0.224 1
Sc1 0.000 0.500 0.779 1



# 15
# Nd5Pd2Rh2 (PBE-GGA, optimized geometry)
# Crystal system: orthorhombic
# VASP energy in eV/atom: -6.102
# Energy of formation in eV per atom: -0.67
data_Nd5Pd2Rh2
_chemical_formula_sum 'Nd20 Pd8 Rh8'
_space_group_name_H-M_alt 'C m c e'
_space_group_IT_number 64
_space_group_name_Hall '-C 2ac 2'
_cell_length_a 15.059
_cell_length_b 7.807
_cell_length_c 7.750
_cell_angle_alpha 90.00
_cell_angle_beta 90.00
_cell_angle_gamma 90.00
loop_
_atom_site_label
_atom_site_fract_x
_atom_site_fract_y
_atom_site_fract_z
_atom_site_occupancy
Nd1 0.000 0.000 0.000 1
Nd2 0.134 0.173 0.334 1
Pd1 0.206 0.000 0.000 1
Rh1 0.000 0.132 0.631 1



# 16
# BaBeRh2 (PBE-GGA, optimized geometry)
# Crystal system: orthorhombic
# VASP energy in eV/atom: -4.948
# Energy of formation in eV per atom: 0.14
data_BaBeRh2
_chemical_formula_sum 'Ba2 Be2 Rh4'
_space_group_name_H-M_alt 'I m m 2'
_space_group_IT_number 44
_cell_length_a 3.165
_cell_length_b 3.614
_cell_length_c 13.266
_cell_angle_alpha 90.00
_cell_angle_beta 90.00
_cell_angle_gamma 90.00
loop_
_space_group_symop_operation_xyz
'x,y,z'
'-x,-y,z'
'-x,y,z'
'x,-y,z'
'x+1/2,y+1/2,z+1/2'
'-x+1/2,-y+1/2,z+1/2'
'-x+1/2,y+1/2,z+1/2'
'x+1/2,-y+1/2,z+1/2'
loop_
_atom_site_label
_atom_site_fract_x
_atom_site_fract_y
_atom_site_fract_z
_atom_site_occupancy
Ba1 0.000 0.000 0.000 1
Be1 0.000 0.500 0.726 1
Rh1 0.000 0.000 0.352 1
Rh2 0.000 0.500 0.201 1